1.
Computed, not measured: an optimized crystal structure of Pr5Tm6Th2 at the PBE-GGA level of DFT.

Output
E_form: 110 meV/atom
final energy: -64.1 eV/f.u.

Unit cell a=3.5882 b=11.5544 c=20.9573 alpha=90.00 beta=90.00 gamma=90.00
Fractional coordinates of all 26 atoms:
1 Th 0.0000 0.3105 0.2626
2 Pr 0.5000 0.5629 0.2947
3 Tm 0.5000 0.8121 0.3775
4 Pr 0.5000 0.9371 0.7947
5 Pr 0.5000 0.1928 0.9229
6 Tm 0.0000 0.4194 0.5623
7 Pr 0.5000 0.6928 0.5771
8 Tm 0.0000 0.5806 0.4377
9 Th 0.0000 0.6895 0.7374
10 Pr 0.5000 0.8072 0.0771
11 Tm 0.0000 0.5601 0.1481
12 Tm 0.5000 0.3121 0.1225
13 Pr 0.5000 0.0000 0.5000
14 Pr 0.5000 0.5000 0.0000
15 Pr 0.5000 0.4371 0.7053
16 Tm 0.5000 0.6879 0.8775
17 Th 0.0000 0.1895 0.7626
18 Tm 0.0000 0.0806 0.0623
19 Tm 0.0000 0.0601 0.3519
20 Tm 0.0000 0.9399 0.6481
21 Tm 0.0000 0.4399 0.8519
22 Th 0.0000 0.8105 0.2374
23 Pr 0.5000 0.3072 0.4229
24 Pr 0.5000 0.0629 0.2053
25 Tm 0.5000 0.1879 0.6225
26 Tm 0.0000 0.9194 0.9377

2.
Computed, not measured: an optimized crystal structure of HfAgTe2 at the PBE-GGA level of DFT.

Output
final energy: -21.0 eV/f.u.
formation energy without anion corrections: -10.764 kcal/mol of atoms

Unit cell a=4.0503 b=7.1092 c=8.2246 alpha=99.56 beta=104.31 gamma=90.02
Fractional coordinates of all 8 atoms:
1 Hf 0.6067 0.9629 0.5738
2 Ag 0.9023 0.3640 0.1671
3 Te 0.5092 0.5578 0.3801
4 Ag 0.8080 0.9736 0.9746
5 Te 0.7269 0.3192 0.8144
6 Te 0.9829 0.0183 0.3273
7 Te 0.2007 0.7796 0.7617
8 Hf 0.1030 0.3745 0.5680

3.
Computed, not measured: an optimized crystal structure of NdThSn2 at the PBE-GGA level of DFT.

Output
E_form: -577 meV/atom
final energy: -22.5 eV/f.u.
ΔE to the lowest computed polymorph: 8.2 kJ/mol of atoms

Unit cell a=4.5193 b=5.0303 c=5.0303 alpha=90.00 beta=90.00 gamma=90.00
Fractional coordinates of all 4 atoms:
1 Th 0.5000 0.5000 0.5000
2 Sn 0.0000 0.5000 0.0000
3 Sn 0.0000 0.0000 0.5000
4 Nd 0.5000 0.0000 0.0000

4.
Computed, not measured: an optimized crystal structure of Li2Be2Se3 at the PBE-GGA level of DFT.

Output
final energy: -28.3 eV/f.u.
formation energy without anion corrections: -21.764 kcal/mol of atoms

Unit cell a=9.3218 b=9.3218 c=6.4826 alpha=69.62 beta=69.62 gamma=81.25
Fractional coordinates of all 28 atoms:
1 Se 0.7283 0.5760 0.7621
2 Be 0.0748 0.5486 0.1075
3 Li 0.4327 0.5673 0.7500
4 Se 0.2717 0.4240 0.2379
5 Li 0.8078 0.9743 0.0473
6 Se 0.9982 0.2280 0.8348
7 Be 0.9252 0.4514 0.8925
8 Li 0.9743 0.8078 0.5473
9 Be 0.7930 0.6335 0.3669
10 Li 0.7250 0.2750 0.7500
11 Se 0.1439 0.5868 0.7212
12 Se 0.5868 0.1439 0.2212
13 Be 0.6335 0.7930 0.8669
14 Li 0.1922 0.0257 0.9527
15 Se 0.5760 0.7283 0.2621
16 Be 0.3665 0.2070 0.1331
17 Se 0.7720 0.0018 0.6652
18 Be 0.5486 0.0748 0.6075
19 Se 0.2280 0.9982 0.3348
20 Se 0.0018 0.7720 0.1652
21 Be 0.2070 0.3665 0.6331
22 Se 0.4132 0.8561 0.7788
23 Be 0.4514 0.9252 0.3925
24 Li 0.5673 0.4327 0.2500
25 Se 0.4240 0.2717 0.7379
26 Li 0.0257 0.1922 0.4527
27 Li 0.2750 0.7250 0.2500
28 Se 0.8561 0.4132 0.2788

5.
Computed, not measured: an optimized crystal structure of YMn2Os at the PBE-GGA level of DFT.

Output
E_form: 353 meV/atom
final energy: -34.6 eV/f.u.
ΔE to the lowest computed polymorph: 19.5 kJ/mol of atoms

Unit cell a=3.6094 b=4.4131 c=4.3560 alpha=90.00 beta=90.00 gamma=90.00
Fractional coordinates of all 4 atoms:
1 Os 0.5000 0.0000 0.5000
2 Y 0.0000 0.5000 0.5000
3 Mn 0.5000 0.5000 0.0000
4 Mn 0.0000 0.0000 0.0000

6.
Computed, not measured: an optimized crystal structure of OsPbS2Cl at the PBE-GGA level of DFT.

Output
final energy: -17.7 eV/f.u.
formation energy without anion corrections: 33.673 kcal/mol of atoms
ΔE to the lowest computed polymorph: 131.1 kJ/mol of atoms

Unit cell a=5.2028 b=5.2028 c=5.1795 alpha=90.00 beta=90.00 gamma=90.00
Fractional coordinates of all 5 atoms:
1 Cl 0.0000 0.0000 0.5000
2 S 0.0000 0.5000 0.0000
3 S 0.5000 0.0000 0.0000
4 Os 0.5000 0.5000 0.5000
5 Pb 0.0000 0.0000 0.0000

7.
Computed, not measured: an optimized crystal structure of Na3Pa3CrN8 at the PBE-GGA level of DFT.

Output
final energy: -121.1 eV/f.u.
formation energy without anion corrections: -19.059 kcal/mol of atoms

Unit cell a=6.7786 b=6.7775 c=6.9271 alpha=119.31 beta=89.98 gamma=120.02
Fractional coordinates of all 15 atoms:
1 N 0.7901 0.0344 0.3243
2 Na 0.0000 0.5000 0.0000
3 N 0.7559 0.9656 0.6758
4 Pa 0.0000 0.5000 0.5000
5 N 0.7332 0.4665 0.6998
6 N 0.2441 0.0344 0.3242
7 N 0.7899 0.5800 0.3241
8 Pa 0.5000 0.0000 0.5000
9 N 0.2099 0.9656 0.6757
10 Na 0.0000 0.0000 0.0000
11 Pa 0.5000 0.5000 0.5000
12 Cr 0.0000 0.0000 0.5000
13 N 0.2668 0.5335 0.3002
14 N 0.2101 0.4200 0.6759
15 Na 0.5000 0.5000 0.0000

8.
Computed, not measured: an optimized crystal structure of Sm8Ge3PBr4 at the PBE-GGA level of DFT.

Output
final energy: -83.2 eV/f.u.
formation energy without anion corrections: -28.142 kcal/mol of atoms

Unit cell a=8.4331 b=8.7057 c=8.4334 alpha=118.98 beta=120.00 gamma=90.00
Fractional coordinates of all 16 atoms:
1 Ge 0.5000 0.5000 0.5000
2 Sm 0.2575 0.2928 0.0251
3 Sm 0.7676 0.2928 0.0251
4 Sm 0.7373 0.7117 0.4746
5 Br 0.0000 0.0000 0.5000
6 Sm 0.2324 0.7072 0.9749
7 Ge 0.5000 0.5000 0.0000
8 Sm 0.2627 0.2883 0.5254
9 Br 0.5000 0.0000 0.5000
10 Ge 0.0000 0.5000 0.5000
11 Sm 0.7677 0.2928 0.5353
12 Br 0.5000 0.0000 0.0000
13 P 0.0000 0.5000 0.0000
14 Sm 0.7425 0.7072 0.9749
15 Sm 0.2323 0.7072 0.4647
16 Br 0.0000 0.0000 0.0000

Number 1 is which compound?
Pr5Tm6Th2

Which of these has the lowest final energy?
Na3Pa3CrN8